## AlZn2Fe (GGA-PBE)

Data for a relaxed AlZn2Fe crystal.

Unit cell a=2.7101 b=2.7101 c=7.7582 alpha=90.00 beta=90.00 gamma=90.00
Closest atoms and distances in Å follow each position.
Atoms (fractional coordinates):
Al  0.0000  0.0000  0.0000  4 Al 2.71, 8 Zn 2.81
Zn  0.5000  0.5000  0.2652  4 Fe 2.64, 4 Zn 2.71, 4 Al 2.81
Zn  0.5000  0.5000  0.7348  4 Fe 2.64, 4 Zn 2.71, 4 Al 2.81
Fe  0.0000  0.0000  0.5000  8 Zn 2.64, 4 Fe 2.71

Output
E_form = 0.3 eV per formula unit
Uncorrected energy = -14.47 eV per cell
Symmetry = P4/mmm
Crystal system = tetragonal